Record 1
# PBE-GGA VCoI2, relaxed
data_VCoI2
_cell_length_a 6.903
_cell_length_b 6.903
_cell_length_c 6.903
_cell_angle_alpha 90.00
_cell_angle_beta 90.00
_cell_angle_gamma 90.00
_symmetry_space_group_name_H-M 'F m -3 m'
_symmetry_Int_Tables_number 225
_symmetry_space_group_name_Hall '-F 4 2 3'
loop_
_atom_site_label
_atom_site_fract_x
_atom_site_fract_y
_atom_site_fract_z
V1 0.000 0.000 0.000
Co1 0.000 0.000 0.500
I1 0.250 0.250 0.250
# energy: -64.29 eV for the cell shown
# offset from the most stable computed form: 0.298 eV per atom
# ρ: 7.3 g/cm3
# formation energy from raw total energies: 0.813 eV per atom

=====

Record 2
# PBE-GGA V3CoI, relaxed
data_V3CoI
_cell_length_a 4.490
_cell_length_b 4.490
_cell_length_c 4.490
_cell_angle_alpha 90.00
_cell_angle_beta 90.00
_cell_angle_gamma 90.00
_symmetry_space_group_name_H-M 'P m -3 m'
_symmetry_Int_Tables_number 221
_symmetry_space_group_name_Hall '-P 4 2 3'
loop_
_atom_site_label
_atom_site_fract_x
_atom_site_fract_y
_atom_site_fract_z
V1 0.000 0.000 0.500
Co1 0.000 0.000 0.000
I1 0.500 0.500 0.500
# energy: -31.67 eV for the cell shown
# offset from the most stable computed form: 0.000 eV per atom
# ρ: 6.2 g/cm3
# formation energy from raw total energies: 0.868 eV per atom

=====

Record 3
# PBE-GGA V2CoI2, relaxed
data_V2CoI2
_cell_length_a 5.300
_cell_length_b 5.300
_cell_length_c 7.457
_cell_angle_alpha 90.00
_cell_angle_beta 90.00
_cell_angle_gamma 90.00
_symmetry_space_group_name_H-M 'I 4/m m m'
_symmetry_Int_Tables_number 139
_symmetry_space_group_name_Hall '-I 4 2'
loop_
_atom_site_label
_atom_site_fract_x
_atom_site_fract_y
_atom_site_fract_z
V1 0.000 0.000 0.127
Co1 0.000 0.000 0.500
I1 0.000 0.500 0.250
# energy: -48.27 eV for the cell shown
# offset from the most stable computed form: 0.021 eV per atom
# ρ: 6.6 g/cm3
# formation energy from raw total energies: 0.861 eV per atom

=====

Record 4
# PBE-GGA VCoI2, relaxed
data_VCoI2
_cell_length_a 6.140
_cell_length_b 6.140
_cell_length_c 11.871
_cell_angle_alpha 90.00
_cell_angle_beta 90.00
_cell_angle_gamma 90.00
_symmetry_space_group_name_H-M 'I -4 2 d'
_symmetry_Int_Tables_number 122
_symmetry_space_group_name_Hall 'I -4 2bw'
loop_
_atom_site_label
_atom_site_fract_x
_atom_site_fract_y
_atom_site_fract_z
V1 0.000 0.000 0.000
Co1 0.000 0.000 0.500
I1 0.223 0.250 0.625
# energy: -69.05 eV for the cell shown
# offset from the most stable computed form: 0.000 eV per atom
# ρ: 5.4 g/cm3
# formation energy from raw total energies: 0.516 eV per atom

=====

Record 5
# PBE-GGA V2CoI, relaxed
data_V2CoI
_cell_length_a 6.169
_cell_length_b 6.169
_cell_length_c 6.169
_cell_angle_alpha 90.00
_cell_angle_beta 90.00
_cell_angle_gamma 90.00
_symmetry_space_group_name_H-M 'F m -3 m'
_symmetry_Int_Tables_number 225
_symmetry_space_group_name_Hall '-F 4 2 3'
loop_
_atom_site_label
_atom_site_fract_x
_atom_site_fract_y
_atom_site_fract_z
V1 0.250 0.250 0.250
Co1 0.000 0.000 0.000
I1 0.000 0.000 0.500
# energy: -96.69 eV for the cell shown
# offset from the most stable computed form: 0.000 eV per atom
# ρ: 8.1 g/cm3
# formation energy from raw total energies: 0.680 eV per atom

=====

Record 6
# PBE-GGA V2CoI, relaxed
data_V2CoI
_cell_length_a 5.594
_cell_length_b 5.594
_cell_length_c 11.343
_cell_angle_alpha 90.00
_cell_angle_beta 90.00
_cell_angle_gamma 90.00
_symmetry_space_group_name_H-M 'I -4 2 d'
_symmetry_Int_Tables_number 122
_symmetry_space_group_name_Hall 'I -4 2bw'
loop_
_atom_site_label
_atom_site_fract_x
_atom_site_fract_y
_atom_site_fract_z
V1 0.169 0.250 0.125
Co1 0.000 0.000 0.000
I1 0.000 0.000 0.500
# energy: -93.97 eV for the cell shown
# offset from the most stable computed form: 0.170 eV per atom
# ρ: 5.4 g/cm3
# formation energy from raw total energies: 0.850 eV per atom

=====

Record 7
# PBE-GGA VCo3I, relaxed
data_VCo3I
_cell_length_a 4.545
_cell_length_b 4.545
_cell_length_c 4.545
_cell_angle_alpha 90.00
_cell_angle_beta 90.00
_cell_angle_gamma 90.00
_symmetry_space_group_name_H-M 'P m -3 m'
_symmetry_Int_Tables_number 221
_symmetry_space_group_name_Hall '-P 4 2 3'
loop_
_atom_site_label
_atom_site_fract_x
_atom_site_fract_y
_atom_site_fract_z
V1 0.000 0.000 0.000
Co1 0.000 0.500 0.500
I1 0.500 0.500 0.500
# energy: -24.01 eV for the cell shown
# offset from the most stable computed form: 0.358 eV per atom
# ρ: 6.3 g/cm3
# formation energy from raw total energies: 1.595 eV per atom

=====

Record 8
# PBE-GGA V2CoI2, relaxed
data_V2CoI2
_cell_length_a 6.748
_cell_length_b 6.748
_cell_length_c 4.150
_cell_angle_alpha 90.00
_cell_angle_beta 90.00
_cell_angle_gamma 90.00
_symmetry_space_group_name_H-M 'P 4/m b m'
_symmetry_Int_Tables_number 127
_symmetry_space_group_name_Hall '-P 4 2ab'
loop_
_atom_site_label
_atom_site_fract_x
_atom_site_fract_y
_atom_site_fract_z
V1 0.138 0.362 0.000
Co1 0.000 0.000 0.000
I1 0.171 0.671 0.500
# energy: -48.49 eV for the cell shown
# offset from the most stable computed form: 0.000 eV per atom
# ρ: 7.3 g/cm3
# formation energy from raw total energies: 0.840 eV per atom

=====

Record 9
# PBE-GGA CoWI2, relaxed
data_CoWI2
_cell_length_a 6.743
_cell_length_b 6.743
_cell_length_c 6.743
_cell_angle_alpha 90.00
_cell_angle_beta 90.00
_cell_angle_gamma 90.00
_symmetry_space_group_name_H-M 'F m -3 m'
_symmetry_Int_Tables_number 225
_symmetry_space_group_name_Hall '-F 4 2 3'
loop_
_atom_site_label
_atom_site_fract_x
_atom_site_fract_y
_atom_site_fract_z
Co1 0.000 0.000 0.000
W1 0.000 0.000 0.500
I1 0.250 0.250 0.250
# energy: -71.98 eV for the cell shown
# offset from the most stable computed form: 0.046 eV per atom
# ρ: 10.8 g/cm3
# formation energy from raw total energies: 1.291 eV per atom

=====

Record 10
# PBE-GGA Co3WI, relaxed
data_Co3WI
_cell_length_a 4.489
_cell_length_b 4.489
_cell_length_c 4.489
_cell_angle_alpha 90.00
_cell_angle_beta 90.00
_cell_angle_gamma 90.00
_symmetry_space_group_name_H-M 'P m -3 m'
_symmetry_Int_Tables_number 221
_symmetry_space_group_name_Hall '-P 4 2 3'
loop_
_atom_site_label
_atom_site_fract_x
_atom_site_fract_y
_atom_site_fract_z
Co1 0.000 0.000 0.500
W1 0.500 0.500 0.500
I1 0.000 0.000 0.000
# energy: -25.67 eV for the cell shown
# offset from the most stable computed form: 0.457 eV per atom
# ρ: 8.9 g/cm3
# formation energy from raw total energies: 2.030 eV per atom

=====

Record 11
# PBE-GGA CoW3I, relaxed
data_CoW3I
_cell_length_a 4.573
_cell_length_b 4.573
_cell_length_c 4.573
_cell_angle_alpha 90.00
_cell_angle_beta 90.00
_cell_angle_gamma 90.00
_symmetry_space_group_name_H-M 'P m -3 m'
_symmetry_Int_Tables_number 221
_symmetry_space_group_name_Hall '-P 4 2 3'
loop_
_atom_site_label
_atom_site_fract_x
_atom_site_fract_y
_atom_site_fract_z
Co1 0.000 0.000 0.000
W1 0.000 0.000 0.500
I1 0.500 0.500 0.500
# energy: -38.64 eV for the cell shown
# offset from the most stable computed form: 0.000 eV per atom
# ρ: 12.8 g/cm3
# formation energy from raw total energies: 1.775 eV per atom

=====

Record 12
# PBE-GGA CoWI3, relaxed
data_CoWI3
_cell_length_a 5.219
_cell_length_b 5.219
_cell_length_c 5.219
_cell_angle_alpha 90.00
_cell_angle_beta 90.00
_cell_angle_gamma 90.00
_symmetry_space_group_name_H-M 'P m -3 m'
_symmetry_Int_Tables_number 221
_symmetry_space_group_name_Hall '-P 4 2 3'
loop_
_atom_site_label
_atom_site_fract_x
_atom_site_fract_y
_atom_site_fract_z
Co1 0.000 0.000 0.000
W1 0.500 0.500 0.500
I1 0.000 0.000 0.500
# energy: -17.90 eV for the cell shown
# ρ: 7.3 g/cm3
# formation energy from raw total energies: 1.362 eV per atom